Entry 1:
This record from the Alexandria database describes a geometry-optimized CsNa2In10 structure. The functional is GGA-PBE.

Values from the calculation:
The calculated total energy comes out at -2.43 eV per atom.

a = 6.466 Å, b = 8.630 Å, c = 8.193 Å
α = 81.50°, β = 66.76°, γ = 68.00°
Atoms (fractional coordinates):
1 Cs 0.000 0.000 0.000
2 Na 0.000 0.000 0.500
3 Na 0.500 0.000 0.500
4 In 0.999 0.359 0.643
5 In 0.001 0.641 0.357
6 In 0.642 0.359 0.357
7 In 0.358 0.641 0.643
8 In 0.500 0.500 0.000
9 In 0.000 0.500 0.000
10 In 0.505 0.762 0.227
11 In 0.495 0.238 0.773
12 In 0.733 0.762 0.773
13 In 0.267 0.238 0.227

Entry 2:
This record from the Alexandria database describes a geometry-optimized Ca3BiPd8Pb2 structure. The functional is GGA-PBE.

Values from the calculation:
The calculated total energy comes out at -4.66 eV per atom.

a = 5.604 Å, b = 5.604 Å, c = 10.785 Å
α = 90.00°, β = 90.00°, γ = 120.00°
Atoms (fractional coordinates):
1 Ca 0.333 0.667 0.573
2 Ca 0.667 0.333 0.427
3 Ca 0.000 0.000 0.000
4 Bi 0.000 0.000 0.500
5 Pd 0.333 0.667 0.835
6 Pd 0.667 0.333 0.165
7 Pd 0.166 0.834 0.287
8 Pd 0.834 0.166 0.713
9 Pd 0.166 0.332 0.287
10 Pd 0.834 0.668 0.713
11 Pd 0.668 0.834 0.287
12 Pd 0.332 0.166 0.713
13 Pb 0.333 0.667 0.085
14 Pb 0.667 0.333 0.915

The ΔH_f (0 K) results, record by record, are as follows: -0.051; -0.454 eV/atom.